Here is crystalline BeCo2Ru at its relaxed geometry from Alexandria. Energies are from PBE.

Lattice parameters (Å, degrees): 2.692 2.692 5.957 90.00 90.00 90.00
Fractional positions:
Ru 0.000 0.000 0.521
Co 0.000 0.000 0.977
Co 0.500 0.500 0.233
Be 0.500 0.500 0.770

Computed properties:
Energy relative to the elements ... -4.1 kJ/mol of atoms
Symmetry ... P4mm (99)
DOS(E_F) ... 1.08 states/eV/atom
M_tot ... 2.91 μB per cell
Calculated total energy ... -6.85 eV/atom

Here is crystalline Be16CoRu2 at its relaxed geometry from Alexandria. Energies are from PBE.

Lattice parameters (Å, degrees): 5.473 5.473 5.473 82.48 82.48 82.48
Fractional positions:
Be 0.695 0.998 0.303
Be 0.998 0.303 0.695
Be 0.303 0.695 0.998
Be 0.998 0.695 0.303
Be 0.695 0.303 0.998
Be 0.303 0.998 0.695
Be 0.353 0.831 0.353
Be 0.831 0.353 0.353
Be 0.353 0.353 0.831
Be 0.652 0.151 0.652
Be 0.151 0.652 0.652
Be 0.652 0.652 0.151
Be 0.997 0.506 0.997
Be 0.506 0.997 0.997
Be 0.997 0.997 0.506
Be 0.110 0.110 0.110
Co 0.914 0.914 0.914
Ru 0.662 0.662 0.662
Ru 0.333 0.333 0.333

Computed properties:
Energy relative to the elements ... -21.2 kJ/mol of atoms
Symmetry ... R3m (160)
DOS(E_F) ... 0.31 states/eV/atom
M_tot ... 0.00 μB per cell
Calculated total energy ... -4.71 eV/atom

Here is crystalline BeCoRu3 at its relaxed geometry from Alexandria. Energies are from PBE.

Lattice parameters (Å, degrees): 4.025 4.025 4.025 90.00 90.00 90.00
Fractional positions:
Ru 0.000 0.500 0.000
Ru 0.000 0.000 0.500
Ru 0.500 0.000 0.000
Co 0.500 0.500 0.500
Be 0.000 0.000 0.000

Computed properties:
Energy relative to the elements ... 69.8 kJ/mol of atoms
Symmetry ... Pm-3m (221)
DOS(E_F) ... 1.26 states/eV/atom
M_tot ... 0.00 μB per cell
Calculated total energy ... -7.01 eV/atom
Polymorph energy (0 for the lowest one) ... 0.0000 eV/atom

Here is crystalline BeCo2Ru at its relaxed geometry from Alexandria. Energies are from PBE.

Lattice parameters (Å, degrees): 3.932 3.932 2.932 90.00 90.00 90.00
Fractional positions:
Ru 0.500 0.000 0.500
Co 0.000 0.000 0.000
Co 0.500 0.500 0.000
Be 0.000 0.500 0.500

Computed properties:
Energy relative to the elements ... 9.8 kJ/mol of atoms
Symmetry ... P4/mmm (123)
DOS(E_F) ... 0.63 states/eV/atom
M_tot ... 3.57 μB per cell
Calculated total energy ... -6.70 eV/atom

Here is crystalline BeCo3Ru at its relaxed geometry from Alexandria. Energies are from PBE.

Lattice parameters (Å, degrees): 4.412 4.412 4.412 90.00 90.00 90.00
Fractional positions:
Ru 0.000 0.000 0.000
Co 0.000 0.500 0.000
Co 0.000 0.000 0.500
Co 0.500 0.000 0.000
Be 0.500 0.500 0.500

Computed properties:
Energy relative to the elements ... 167.4 kJ/mol of atoms
Symmetry ... Pm-3m (221)
DOS(E_F) ... 1.22 states/eV/atom
M_tot ... 4.25 μB per cell
Calculated total energy ... -5.13 eV/atom
Polymorph energy (0 for the lowest one) ... 1.2054 eV/atom

Here is crystalline Be4CoRu at its relaxed geometry from Alexandria. Energies are from PBE.

Lattice parameters (Å, degrees): 4.238 4.238 4.238 60.00 60.00 60.00
Fractional positions:
Be 0.125 0.625 0.625
Be 0.625 0.625 0.625
Be 0.625 0.125 0.625
Be 0.625 0.625 0.125
Co 0.250 0.250 0.250
Ru 0.000 0.000 0.000

Computed properties:
Energy relative to the elements ... -29.0 kJ/mol of atoms
Symmetry ... F-43m (216)
DOS(E_F) ... 0.79 states/eV/atom
M_tot ... 0.63 μB per cell
Calculated total energy ... -5.51 eV/atom
Polymorph energy (0 for the lowest one) ... 0.0000 eV/atom

Here is crystalline BeCo2Ru2 at its relaxed geometry from Alexandria. Energies are from PBE.

Lattice parameters (Å, degrees): 6.823 6.823 2.690 90.00 90.00 90.00
Fractional positions:
Ru 0.179 0.679 0.500
Ru 0.679 0.821 0.500
Ru 0.821 0.321 0.500
Ru 0.321 0.179 0.500
Co 0.382 0.882 0.000
Co 0.882 0.618 0.000
Co 0.618 0.118 0.000
Co 0.118 0.382 0.000
Be 0.000 0.000 0.000
Be 0.500 0.500 0.000

Computed properties:
Energy relative to the elements ... 38.0 kJ/mol of atoms
Symmetry ... P4/mbm (127)
DOS(E_F) ... 1.11 states/eV/atom
M_tot ... 0.00 μB per cell
Calculated total energy ... -6.90 eV/atom
Polymorph energy (0 for the lowest one) ... 0.0000 eV/atom

Here is crystalline Be3CoRu at its relaxed geometry from Alexandria. Energies are from PBE.

Lattice parameters (Å, degrees): 4.065 4.065 4.065 90.00 90.00 90.00
Fractional positions:
Ru 0.000 0.000 0.000
Co 0.500 0.500 0.500
Be 0.000 0.500 0.000
Be 0.000 0.000 0.500
Be 0.500 0.000 0.000

Computed properties:
Energy relative to the elements ... 83.1 kJ/mol of atoms
Symmetry ... Pm-3m (221)
DOS(E_F) ... 0.45 states/eV/atom
M_tot ... 1.73 μB per cell
Calculated total energy ... -4.65 eV/atom
Polymorph energy (0 for the lowest one) ... 1.0496 eV/atom

Q: Which value of M_tot does entry 1 give?
A: 2.91 μB per cell

Q: What is the calculated total energy in the seventh record?
A: -6.90 eV/atom

Q: What is the calculated total energy in the eighth record?
A: -4.65 eV/atom

Q: M_tot of number 6 (Be4CoRu)?
A: 0.63 μB per cell